Entry 1:
GGA-PBE InPd2Au5, optimized geometry; calculated total energy = -3.88 eV per atom; space-group type = Pbam (55); formation energy from the elements = -1.55 eV per formula unit; D(E_F) = 0.30 states/eV per atom
1.0
5.8548 0.0000 0.0000
0.0000 11.7048 0.0000
0.0000 0.0000 4.1200
In Pd Au
2 4 10
Cartesian
0.0000 0.0000 0.0000
2.9274 5.8524 0.0000
1.3576 1.3946 2.0600
1.5698 7.2469 2.0600
4.2850 4.4578 2.0600
4.4972 10.3102 2.0600
0.0000 5.8524 0.0000
0.1094 8.7815 0.0000
1.3577 4.3403 2.0600
1.5697 10.1927 2.0600
2.8180 2.9291 0.0000
2.9274 0.0000 0.0000
3.0368 8.7757 0.0000
4.2851 1.5121 2.0600
4.4971 7.3645 2.0600
5.7454 2.9233 0.0000



Entry 2:
GGA-PBE SrBeIr4, optimized geometry; calculated total energy = -6.58 eV per atom; space-group type = F-43m (216); formation energy from the elements = 1.37 eV per formula unit; D(E_F) = 1.11 states/eV per atom
1.0
0.0000 3.7474 3.7474
3.7474 0.0000 3.7474
3.7474 3.7474 0.0000
Sr Be Ir
1 1 4
Cartesian
0.0000 0.0000 0.0000
5.6211 5.6211 5.6211
2.8150 2.8150 2.8150
4.6798 4.6798 2.8150
4.6798 2.8150 4.6798
2.8150 4.6798 4.6798



Entry 3:
GGA-PBE NaPOsPd, optimized geometry; calculated total energy = -5.88 eV per atom; space-group type = P4/nmm (129); formation energy from the elements = -0.38 eV per formula unit; D(E_F) = 0.62 states/eV per atom
1.0
3.8608 0.0000 0.0000
0.0000 3.8608 0.0000
0.0000 0.0000 10.5793
Na P Os Pd
2 2 2 2
Cartesian
0.9652 0.9652 2.3792
2.8956 2.8956 8.2001
0.9652 0.9652 6.6461
2.8956 2.8956 3.9332
0.9652 2.8956 5.2897
2.8956 0.9652 5.2897
0.9652 2.8956 0.0000
2.8956 0.9652 0.0000



Entry 4:
GGA-PBE NaSn4Ge, optimized geometry; calculated total energy = -3.61 eV per atom; space-group type = Ama2 (40); formation energy from the elements = 0.28 eV per formula unit; D(E_F) = 0.38 states/eV per atom
1.0
9.5398 0.0000 0.0000
0.0000 5.9150 3.0800
0.0000 -5.9150 3.0800
Na Sn Ge
2 8 2
Cartesian
0.0000 0.0000 0.0000
4.7699 0.0000 0.0000
0.2354 2.8510 4.2819
2.3850 -1.3678 3.0888
2.3850 1.4889 1.7204
4.5345 2.8510 4.2819
5.0053 -2.8510 4.2819
7.1549 -1.4889 1.7204
7.1549 1.3678 3.0888
9.3044 -2.8510 4.2819
2.3850 1.0744 4.6040
7.1549 -1.0744 4.6040



Entry 5:
GGA-PBE AcSm2YS6, optimized geometry; calculated total energy = -6.53 eV per atom; space-group type = R3 (146); D(E_F) = 0.00 states/eV per atom
1.0
3.5873 2.0711 6.2989
-3.5873 2.0711 6.2989
0.0000 -4.1422 6.2989
Ac Sm Y S
1 2 1 6
Cartesian
0.0000 0.0000 0.0000
0.0000 0.0000 5.3536
0.0000 0.0000 14.9335
0.0000 0.0000 9.2251
-2.0430 -0.1937 7.3355
-1.3937 -2.0411 10.4644
1.1893 -1.6725 7.3355
-1.0708 2.2276 10.4644
0.8538 1.8662 7.3355
2.4645 -0.1864 10.4644



Entry 6:
GGA-PBE PaReHg2O6, optimized geometry; calculated total energy = -6.95 eV per atom; space-group type = Immm (71); D(E_F) = 0.32 states/eV per atom
1.0
-2.9437 2.9511 4.1721
2.9437 -2.9511 4.1721
2.9437 2.9511 -4.1721
Pa Re Hg O
1 1 2 6
Cartesian
0.0000 0.0000 0.0000
0.0000 0.0000 4.1721
2.9437 0.0000 2.0831
0.0000 2.9511 2.0889
1.5803 1.5861 0.0000
0.0000 0.0000 2.2412
1.3634 -1.3649 4.1721
1.5803 4.3160 0.0000
0.0000 0.0000 6.1029
1.3634 1.3649 4.1721



Entry 7:
GGA-PBE La3Nd2Hg, optimized geometry; calculated total energy = -4.18 eV per atom; space-group type = C2/m (12); formation energy from the elements = -0.46 eV per formula unit; distance to the lowest polymorph of the same formula = 76 meV per atom; D(E_F) = 1.30 states/eV per atom
1.0
3.1777 -5.5065 0.0000
3.1777 5.5065 0.0000
-2.1288 0.0000 11.5360
La Nd Hg
6 4 2
Cartesian
-0.0471 1.9118 8.7952
0.9790 0.0000 2.7398
-0.0471 -1.9118 8.7952
4.2737 1.9118 2.7408
3.2476 0.0000 8.7962
4.2737 -1.9118 2.7408
-1.0644 0.0000 5.7680
2.1133 1.7954 5.7680
3.1777 0.0000 0.0000
2.1133 -1.7954 5.7680
3.1777 3.6650 0.0000
3.1777 -3.6650 0.0000



Entry 8:
GGA-PBE Na2BiPt2, optimized geometry; calculated total energy = -3.66 eV per atom; space-group type = I4/mmm (139); formation energy from the elements = 0.32 eV per formula unit; distance to the lowest polymorph of the same formula = 397 meV per atom; D(E_F) = 0.45 states/eV per atom
1.0
-1.9509 1.9509 7.0918
1.9509 -1.9509 7.0918
1.9509 1.9509 -7.0918
Na Bi Pt
2 1 2
Cartesian
1.9509 0.0000 3.5459
0.0000 1.9509 3.5459
0.0000 0.0000 0.0000
0.0000 0.0000 5.7432
0.0000 0.0000 8.4404